Pm3Tm3Th PBE optimized geometry; ΔE to the lowest computed polymorph = 0 meV per atom; E = -4.98 eV per atom; formation enthalpy at 0 K = 30 meV/atom; crystal system = hexagonal
1.0
5.706 0.000 0.000
0.000 9.613 -0.015
0.000 -4.793 8.334
Tm Th Pm
6 2 6
Cartesian
1.427 -0.616 7.532 Tm
1.427 2.038 5.102 Tm
1.427 -1.393 4.019 Tm
4.280 5.436 0.787 Tm
4.280 6.213 4.300 Tm
4.280 2.782 3.217 Tm
1.427 4.812 2.768 Th
4.280 0.008 5.552 Th
1.427 1.468 1.574 Pm
4.280 3.352 6.745 Pm
1.427 5.450 6.260 Pm
4.280 -2.697 7.850 Pm
1.427 7.517 0.470 Pm
4.280 -0.630 2.059 Pm